Record 1
# GGA-PBE AcPm2ThSe4, optimized geometry
data_AcPm2ThSe4
_symmetry_space_group_name_H-M 'P 1 2/m 1'
_symmetry_Int_Tables_number 10
_cell_length_a 7.3747
_cell_length_b 4.2263
_cell_length_c 7.4398
_cell_angle_alpha 90.00
_cell_angle_beta 109.10
_cell_angle_gamma 90.00
loop_
_symmetry_equiv_pos_as_xyz
'x,y,z'
'-x,-y,-z'
'-x,y,-z'
'x,-y,z'
loop_
_atom_site_label
_atom_site_fract_x
_atom_site_fract_y
_atom_site_fract_z
_atom_site_occupancy
Ac1 0.0000 0.0000 0.0000 1
Pm1 0.0000 0.5000 0.5000 1
Pm2 0.5000 0.0000 0.5000 1
Th1 0.5000 0.5000 0.0000 1
Se1 0.2548 0.0000 0.7426 1
Se2 0.2616 0.5000 0.2626 1
# - spin magnetization (μB/cell) = 0.0
# - V (A^3/atom) = 27.4
# - electronic total energy (eV per atom) = -6.116
# - formation energy from raw total energies (meV/atom) = -1745

=====

Record 2
# GGA-PBE TaCr2Mo, optimized geometry
data_TaCr2Mo
_symmetry_space_group_name_H-M 'F -4 3 m'
_symmetry_Int_Tables_number 216
_symmetry_space_group_name_Hall 'F -4 2 3'
_cell_length_a 6.1238
_cell_length_b 6.1238
_cell_length_c 6.1238
_cell_angle_alpha 90.00
_cell_angle_beta 90.00
_cell_angle_gamma 90.00
loop_
_atom_site_label
_atom_site_fract_x
_atom_site_fract_y
_atom_site_fract_z
_atom_site_occupancy
Ta1 0.0000 0.0000 0.0000 1
Cr1 0.0000 0.0000 0.5000 1
Cr2 0.2500 0.2500 0.7500 1
Mo1 0.2500 0.2500 0.2500 1
# - spin magnetization (μB/cell) = 0.0
# - energy above the most stable polymorph in this dataset (eV per atom) = 0.063
# - V (A^3/atom) = 14.4
# - ΔH_f (0 K) (eV/atom) = 0.04
# - electronic total energy (eV per atom) = -10.440

=====

Record 3
# GGA-PBE KSnTe2N, optimized geometry
data_KSnTe2N
_symmetry_space_group_name_H-M 'P 4/m m m'
_symmetry_Int_Tables_number 123
_symmetry_space_group_name_Hall '-P 4 2'
_cell_length_a 6.1202
_cell_length_b 6.1202
_cell_length_c 4.8538
_cell_angle_alpha 90.00
_cell_angle_beta 90.00
_cell_angle_gamma 90.00
loop_
_atom_site_label
_atom_site_fract_x
_atom_site_fract_y
_atom_site_fract_z
_atom_site_occupancy
K1 0.0000 0.0000 0.0000 1
Sn1 0.5000 0.5000 0.5000 1
Te1 0.0000 0.5000 0.0000 1
N1 0.0000 0.0000 0.5000 1
# - spin magnetization (μB/cell) = 3.1
# - energy above the most stable polymorph in this dataset (eV per atom) = 0.939
# - V (A^3/atom) = 36.4
# - electronic total energy (eV per atom) = -2.707
# - formation energy from raw total energies (meV/atom) = 1234

=====

Record 4
# GGA-PBE LaHgPd2, optimized geometry
data_LaHgPd2
_symmetry_space_group_name_H-M 'P 4/m m m'
_symmetry_Int_Tables_number 123
_symmetry_space_group_name_Hall '-P 4 2'
_cell_length_a 4.6565
_cell_length_b 4.6565
_cell_length_c 3.9626
_cell_angle_alpha 90.00
_cell_angle_beta 90.00
_cell_angle_gamma 90.00
loop_
_atom_site_label
_atom_site_fract_x
_atom_site_fract_y
_atom_site_fract_z
_atom_site_occupancy
La1 0.0000 0.0000 0.0000 1
Hg1 0.5000 0.5000 0.0000 1
Pd1 0.0000 0.5000 0.5000 1
# - spin magnetization (μB/cell) = 0.0
# - V (A^3/atom) = 21.5
# - ΔH_f (0 K) (eV/atom) = -0.52
# - electronic total energy (eV per atom) = -4.428

=====

Record 5
# GGA-PBE ThMgCdCu, optimized geometry
data_ThMgCdCu
_symmetry_space_group_name_H-M 'F -4 3 m'
_symmetry_Int_Tables_number 216
_symmetry_space_group_name_Hall 'F -4 2 3'
_cell_length_a 7.1241
_cell_length_b 7.1241
_cell_length_c 7.1241
_cell_angle_alpha 90.00
_cell_angle_beta 90.00
_cell_angle_gamma 90.00
loop_
_atom_site_label
_atom_site_fract_x
_atom_site_fract_y
_atom_site_fract_z
_atom_site_occupancy
Th1 0.0000 0.0000 0.0000 1
Mg1 0.0000 0.0000 0.5000 1
Cd1 0.2500 0.2500 0.2500 1
Cu1 0.2500 0.2500 0.7500 1
# - spin magnetization (μB/cell) = 0.0
# - V (A^3/atom) = 22.6
# - ΔH_f (0 K) (eV/atom) = -0.09
# - electronic total energy (eV per atom) = -3.601

=====

Record 6
# GGA-PBE CsCdGa2Tc, optimized geometry
data_CsCdGa2Tc
_symmetry_space_group_name_H-M 'P 4/m m m'
_symmetry_Int_Tables_number 123
_symmetry_space_group_name_Hall '-P 4 2'
_cell_length_a 4.9838
_cell_length_b 4.9838
_cell_length_c 5.4832
_cell_angle_alpha 90.00
_cell_angle_beta 90.00
_cell_angle_gamma 90.00
loop_
_atom_site_label
_atom_site_fract_x
_atom_site_fract_y
_atom_site_fract_z
_atom_site_occupancy
Cs1 0.0000 0.0000 0.0000 1
Cd1 0.5000 0.5000 0.0000 1
Ga1 0.0000 0.5000 0.5000 1
Tc1 0.5000 0.5000 0.5000 1
# - spin magnetization (μB/cell) = 0.0
# - V (A^3/atom) = 27.2
# - ΔH_f (0 K) (eV/atom) = 0.09
# - electronic total energy (eV per atom) = -3.545

=====

Record 7
# GGA-PBE LiPI3, optimized geometry
data_LiPI3
_symmetry_space_group_name_H-M 'P 1'
_symmetry_Int_Tables_number 1
_cell_length_a 4.7355
_cell_length_b 8.7656
_cell_length_c 10.9069
_cell_angle_alpha 104.49
_cell_angle_beta 94.24
_cell_angle_gamma 94.44
loop_
_symmetry_equiv_pos_as_xyz
'x,y,z'
loop_
_atom_site_label
_atom_site_fract_x
_atom_site_fract_y
_atom_site_fract_z
_atom_site_occupancy
Li1 0.0000 0.0000 0.0000 1
Li2 0.4194 0.7405 0.8544 1
P1 0.0714 0.4126 0.5068 1
P2 0.3445 0.3275 0.3488 1
I1 0.0757 0.0555 0.2762 1
I2 0.1301 0.4685 0.1995 1
I3 0.2866 0.2718 0.6562 1
I4 0.3406 0.6846 0.5789 1
I5 0.4925 0.0683 0.8987 1
I6 0.9266 0.6723 0.9560 1
# - spin magnetization (μB/cell) = 0.0
# - energy above the most stable polymorph in this dataset (eV per atom) = 0.000
# - V (A^3/atom) = 43.5
# - electronic total energy (eV per atom) = -2.879
# - formation energy from raw total energies (meV/atom) = -484

=====

Record 8
# GGA-PBE Cd8SbAu6, optimized geometry
data_Cd8SbAu6
_symmetry_space_group_name_H-M 'R -3'
_symmetry_Int_Tables_number 148
_symmetry_space_group_name_Hall '-R 3'
_cell_length_a 8.1171
_cell_length_b 8.1171
_cell_length_c 17.6048
_cell_angle_alpha 90.00
_cell_angle_beta 90.00
_cell_angle_gamma 120.00
loop_
_atom_site_label
_atom_site_fract_x
_atom_site_fract_y
_atom_site_fract_z
_atom_site_occupancy
Cd1 0.0000 0.0000 0.1665 1
Cd2 0.0022 0.6650 0.3820 1
Sb1 0.0000 0.0000 0.5000 1
Au1 0.9999 0.3363 0.4438 1
# - spin magnetization (μB/cell) = 0.0
# - V (A^3/atom) = 22.3
# - electronic total energy (eV per atom) = -2.223
# - formation energy from raw total energies (meV/atom) = -149

=====

Record 9
# GGA-PBE ZrBi2, optimized geometry
data_ZrBi2
_symmetry_space_group_name_H-M 'C 1 2/m 1'
_symmetry_Int_Tables_number 12
_cell_length_a 5.5862
_cell_length_b 5.5694
_cell_length_c 5.8002
_cell_angle_alpha 90.00
_cell_angle_beta 118.71
_cell_angle_gamma 90.00
loop_
_symmetry_equiv_pos_as_xyz
'x,y,z'
'-x,-y,-z'
'-x,y,-z'
'x,-y,z'
'x+1/2,y+1/2,z'
'-x+1/2,-y+1/2,-z'
'-x+1/2,y+1/2,-z'
'x+1/2,-y+1/2,z'
loop_
_atom_site_label
_atom_site_fract_x
_atom_site_fract_y
_atom_site_fract_z
_atom_site_occupancy
Zr1 0.0000 0.0000 0.0000 1
Bi1 0.1568 0.5000 0.3118 1
# - spin magnetization (μB/cell) = 0.0
# - V (A^3/atom) = 26.4
# - ΔH_f (0 K) (eV/atom) = -0.24
# - electronic total energy (eV per atom) = -5.672

=====

Record 10
# GGA-PBE SmHoBi, optimized geometry
data_SmHoBi
_symmetry_space_group_name_H-M 'P 3 m 1'
_symmetry_Int_Tables_number 156
_cell_length_a 5.2137
_cell_length_b 5.2137
_cell_length_c 4.0549
_cell_angle_alpha 90.00
_cell_angle_beta 90.00
_cell_angle_gamma 120.00
loop_
_symmetry_equiv_pos_as_xyz
'x,y,z'
'-y,x-y,z'
'-x+y,-x,z'
'-y,-x,z'
'-x+y,y,z'
'x,x-y,z'
loop_
_atom_site_label
_atom_site_fract_x
_atom_site_fract_y
_atom_site_fract_z
_atom_site_occupancy
Sm1 0.0000 0.0000 0.0000 1
Ho1 0.3333 0.6667 0.5306 1
Bi1 0.6667 0.3333 0.3488 1
# - spin magnetization (μB/cell) = 0.0
# - V (A^3/atom) = 31.8
# - ΔH_f (0 K) (eV/atom) = -0.28
# - electronic total energy (eV per atom) = -4.668

=====

Record 11
# GGA-PBE CeSbPt5, optimized geometry
data_CeSbPt5
_symmetry_space_group_name_H-M 'P n m a'
_symmetry_Int_Tables_number 62
_cell_length_a 8.8412
_cell_length_b 5.5638
_cell_length_c 10.7765
_cell_angle_alpha 90.00
_cell_angle_beta 90.00
_cell_angle_gamma 90.00
loop_
_symmetry_equiv_pos_as_xyz
'x,y,z'
'-x,-y,-z'
'-x+1/2,-y,z+1/2'
'x+1/2,y,-z+1/2'
'x+1/2,-y+1/2,-z+1/2'
'-x+1/2,y+1/2,z+1/2'
'-x,y+1/2,-z'
'x,-y+1/2,z'
loop_
_atom_site_label
_atom_site_fract_x
_atom_site_fract_y
_atom_site_fract_z
_atom_site_occupancy
Ce1 0.2500 0.2500 0.0456 1
Sb1 0.1537 0.2500 0.3429 1
Pt1 0.0726 0.5069 0.7972 1
Pt2 0.0805 0.7500 0.0208 1
Pt3 0.0875 0.2500 0.5745 1
Pt4 0.1702 0.7500 0.2797 1
# - spin magnetization (μB/cell) = 1.1
# - energy above the most stable polymorph in this dataset (eV per atom) = 0.087
# - V (A^3/atom) = 18.9
# - electronic total energy (eV per atom) = -6.389
# - formation energy from raw total energies (meV/atom) = -637

=====

Record 12
# GGA-PBE Lu2UHg, optimized geometry
data_Lu2UHg
_symmetry_space_group_name_H-M 'P 4/m m m'
_symmetry_Int_Tables_number 123
_symmetry_space_group_name_Hall '-P 4 2'
_cell_length_a 3.2894
_cell_length_b 3.2894
_cell_length_c 9.1556
_cell_angle_alpha 90.00
_cell_angle_beta 90.00
_cell_angle_gamma 90.00
loop_
_atom_site_label
_atom_site_fract_x
_atom_site_fract_y
_atom_site_fract_z
_atom_site_occupancy
Lu1 0.0000 0.0000 0.2377 1
U1 0.5000 0.5000 0.5000 1
Hg1 0.5000 0.5000 0.0000 1
# - spin magnetization (μB/cell) = 2.0
# - V (A^3/atom) = 24.8
# - ΔH_f (0 K) (eV/atom) = 0.01
# - electronic total energy (eV per atom) = -5.150